Here is a relaxed structure of Pa2GaCo6Si from Alexandria via LeMat-Bulk. Energies are from PBE.

Summary:
ρ ... 9.7 Mg/m³
Raw formation energy ... 112 meV/atom
Density of states at the Fermi level ... 7.6 states/eV/f.u.

Cell: 6.0480 6.0480 6.0480 Å, 60.00 60.00 90.00°
Each line ends with the local moment (μB).
Positions (direct):
Co1 0.2442 0.7558 0.0000  0.55
Co2 0.7558 0.2442 0.0000  0.55
Co3 0.2442 0.2442 0.0000  0.55
Co4 0.7558 0.7558 0.0000  0.55
Ga1 0.5000 0.5000 0.0000  -0.01
Co5 0.2442 0.2442 0.5115  0.55
Pa1 0.7500 0.2500 0.5000  -0.15
Si1 0.0000 0.0000 0.0000  -0.01
Co6 0.7558 0.7558 0.4885  0.55
Pa2 0.2500 0.7500 0.5000  -0.15